No. 1
Rb2ZrNp2Se6: optimized geometry, GGA-PBE.

Properties
Final energy   -6.49 eV/atom
ΔE_f (raw)   -1.28 eV/atom
N(E_F)   43.7 states/eV per cell
Volume   719 Å³/cell

Unit cell a=7.1264 b=12.2630 c=8.5673 alpha=90.00 beta=106.26 gamma=90.00
With the nearest neighbours (Å) after each atom.
Space group C2/m (No. 12)
Asymmetric unit:
Rb (0.0000, 0.1686, 0.0000)  6 Se 3.45-3.52
Zr (0.0000, 0.0000, 0.5000)  6 Se 2.76
Np (0.0000, 0.3333, 0.5000)  6 Se 2.88-2.89
Se (0.2253, 0.1594, 0.6914)  1 Zr 2.76, 2 Np 2.89
Se (0.2455, 0.5000, 0.6908)  1 Zr 2.76, 2 Np 2.88

---

No. 2
Rb3SmNp2Te6: optimized geometry, GGA-PBE.

Properties
Final energy   -5.41 eV/atom
ΔE_f (raw)   -1.05 eV/atom
N(E_F)   35.7 states/eV per cell
Volume   940 Å³/cell

Unit cell a=7.9693 b=13.8038 c=8.9512 alpha=90.00 beta=107.26 gamma=90.00
With the nearest neighbours (Å) after each atom.
Space group C2/m (No. 12)
Asymmetric unit:
Rb (0.0000, 0.0000, 0.0000)  6 Te 3.68-3.69
Rb (0.0000, 0.3344, 0.0000)  6 Te 3.68-3.69
Sm (0.0000, 0.5000, 0.5000)  6 Te 3.17-3.18
Np (0.0000, 0.1668, 0.5000)  6 Te 3.16
Te (0.2320, 0.0000, 0.7011)  2 Np 3.16, 1 Sm 3.17
Te (0.2347, 0.3326, 0.7016)  2 Np 3.16, 1 Sm 3.18

---

No. 3
Rb2SmNpTe4: optimized geometry, GGA-PBE.

Properties
Final energy   -5.16 eV/atom
ΔE_f (raw)   -1.14 eV/atom
N(E_F)   6.8 states/eV per cell
Volume   314 Å³/cell

Unit cell a=7.9979 b=4.6046 c=8.9363 alpha=90.00 beta=107.33 gamma=90.00
With the nearest neighbours (Å) after each atom.
Space group P2/m (No. 10)
Asymmetric unit:
Rb (0.0000, 0.0000, 0.0000)  6 Te 3.68-3.69
Rb (0.5000, 0.5000, 0.0000)  6 Te 3.68-3.69
Sm (0.0000, 0.5000, 0.5000)  6 Te 3.17
Np (0.5000, 0.0000, 0.5000)  6 Te 3.16-3.18
Te (0.2340, 0.0000, 0.7026)  2 Sm 3.17, 1 Np 3.18
Te (0.2673, 0.5000, 0.2995)  2 Np 3.16, 1 Sm 3.17

---

No. 4
RbNpSn2: optimized geometry, GGA-PBE.

Properties
Final energy   -5.03 eV/atom
N(E_F)   36.0 states/eV per cell
Volume   614 Å³/cell

Unit cell a=5.1566 b=5.1566 c=26.6595 alpha=90.00 beta=90.00 gamma=120.00
With the nearest neighbours (Å) after each atom.
Space group R-3m (No. 166, hexagonal axes)
Asymmetric unit:
Rb (0.0000, 0.0000, 0.0000)  2 Sn 3.58
Np (0.0000, 0.0000, 0.5000)  6 Sn 3.10
Sn (0.0000, 0.0000, 0.1342)  3 Np 3.10, 3 Sn 3.44

---

No. 5
RbNpSn: optimized geometry, GGA-PBE.

Properties
Final energy   -5.98 eV/atom
N(E_F)   8.6 states/eV per cell
Volume   204 Å³/cell

Unit cell a=3.6718 b=3.7210 c=14.9660 alpha=91.84 beta=91.44 gamma=90.01
With the nearest neighbours (Å) after each atom.
Space group P-1 (No. 2)
Asymmetric unit:
Rb (0.2138, 0.2892, 0.1537)  4 Rb 3.67-3.72, 4 Sn 3.71-3.73
Np (0.2462, 0.3358, 0.4635)  2 Np 2.44
Sn (0.2678, 0.1817, 0.6693)  5 Np 3.15-3.28

---

No. 6
Rb3NpSn2Te6: optimized geometry, GGA-PBE.

Properties
Final energy   -4.25 eV/atom
ΔE_f (raw)   -0.69 eV/atom
N(E_F)   21.1 states/eV per cell
Volume   941 Å³/cell

Unit cell a=8.0611 b=13.9528 c=8.7890 alpha=90.00 beta=107.76 gamma=90.00
With the nearest neighbours (Å) after each atom.
Space group C2/m (No. 12)
Asymmetric unit:
Rb (0.0000, 0.0000, 0.0000)  6 Te 3.66-3.80
Rb (0.0000, 0.3270, 0.0000)  6 Te 3.66-3.75
Np (0.0000, 0.5000, 0.5000)  6 Te 3.03-3.04
Sn (0.0000, 0.1655, 0.5000)  6 Te 3.20-3.21
Te (0.2233, 0.3413, 0.6947)  1 Np 3.03, 2 Sn 3.20-3.21
Te (0.2492, 0.0000, 0.6968)  1 Np 3.04, 2 Sn 3.20

---

No. 7
RbNpSnTe3: optimized geometry, GGA-PBE.

Properties
Final energy   -5.22 eV/atom
ΔE_f (raw)   -0.67 eV/atom
N(E_F)   19.5 states/eV per cell
Volume   488 Å³/cell

Unit cell a=9.5691 b=4.5177 c=11.9224 alpha=90.00 beta=108.82 gamma=90.00
With the nearest neighbours (Å) after each atom.
Space group P2_1/m (No. 11)
Asymmetric unit:
Rb (0.2245, 0.2500, 0.2681)  7 Te 3.69-4.12, 1 Sn 3.84
Np (0.3604, 0.7500, 0.8422)  6 Te 3.10-3.17
Sn (0.1308, 0.2500, 0.5577)  3 Te 2.89-3.01
Te (0.1165, 0.2500, 0.7965)  1 Sn 2.89, 2 Np 3.17
Te (0.3439, 0.7500, 0.5736)  2 Sn 3.01, 1 Np 3.15
Te (0.4031, 0.7500, 0.1113)  3 Np 3.10-3.12

---

No. 8
Rb3Np2SnTe6: optimized geometry, GGA-PBE.

Properties
Final energy   -5.11 eV/atom
ΔE_f (raw)   -0.81 eV/atom
N(E_F)   30.3 states/eV per cell
Volume   944 Å³/cell

Unit cell a=8.0434 b=13.9281 c=8.8440 alpha=90.00 beta=107.61 gamma=90.00
With the nearest neighbours (Å) after each atom.
Space group C2/m (No. 12)
Asymmetric unit:
Rb (0.0000, 0.0000, 0.0000)  6 Te 3.64-3.73
Rb (0.0000, 0.3380, 0.0000)  6 Te 3.67-3.73
Np (0.0000, 0.1672, 0.5000)  6 Te 3.12
Sn (0.0000, 0.5000, 0.5000)  6 Te 3.23-3.24
Te (0.2213, 0.0000, 0.6969)  2 Np 3.12, 1 Sn 3.23
Te (0.2385, 0.3279, 0.6985)  2 Np 3.12, 1 Sn 3.24

---

No. 9
Rb2NpSnTe4: optimized geometry, GGA-PBE.

Properties
Final energy   -4.68 eV/atom
ΔE_f (raw)   -0.75 eV/atom
N(E_F)   6.0 states/eV per cell
Volume   315 Å³/cell

Unit cell a=8.1096 b=4.6212 c=8.7850 alpha=90.00 beta=107.13 gamma=90.00
With the nearest neighbours (Å) after each atom.
Space group P2/m (No. 10)
Asymmetric unit:
Rb (0.0000, 0.0000, 0.0000)  6 Te 3.64-3.66
Rb (0.5000, 0.5000, 0.0000)  6 Te 3.74-3.77
Np (0.0000, 0.5000, 0.5000)  6 Te 3.05-3.12
Sn (0.5000, 0.0000, 0.5000)  6 Te 3.21
Te (0.2227, 0.0000, 0.6953)  2 Np 3.12, 1 Sn 3.21
Te (0.2533, 0.5000, 0.3033)  1 Np 3.05, 2 Sn 3.21

---

No. 10
Rb3SrNp2Te6: optimized geometry, GGA-PBE.

Properties
Final energy   -5.16 eV/atom
ΔE_f (raw)   -1.05 eV/atom
N(E_F)   37.3 states/eV per cell
Volume   962 Å³/cell

Unit cell a=8.0735 b=13.9886 c=8.9364 alpha=90.00 beta=107.57 gamma=90.00
With the nearest neighbours (Å) after each atom.
Space group C2/m (No. 12)
Asymmetric unit:
Rb (0.0000, 0.0000, 0.0000)  6 Te 3.59-3.76
Rb (0.0000, 0.3394, 0.0000)  6 Te 3.62-3.77
Sr (0.0000, 0.5000, 0.5000)  6 Te 3.33-3.34
Np (0.0000, 0.1674, 0.5000)  6 Te 3.12-3.13
Te (0.2123, 0.0000, 0.7005)  2 Np 3.13, 1 Sr 3.33
Te (0.2455, 0.3226, 0.7023)  2 Np 3.12, 1 Sr 3.34

---

No. 11
Rb3Np3TaTe8: optimized geometry, GGA-PBE.

Properties
Final energy   -5.86 eV/atom
ΔE_f (raw)   -0.61 eV/atom
N(E_F)   21.1 states/eV per cell
Volume   500 Å³/cell

Unit cell a=7.5129 b=7.5129 c=8.8653 alpha=90.00 beta=90.00 gamma=90.00
With the nearest neighbours (Å) after each atom.
Space group P4/mmm (No. 123)
Asymmetric unit:
Rb (0.0000, 0.0000, 0.0000)  4 Rb 3.76, 8 Te 3.85
Rb (0.0000, 0.5000, 0.0000)  2 Rb 3.76, 8 Te 3.78
Np (0.0000, 0.0000, 0.5000)  8 Te 3.26
Np (0.0000, 0.5000, 0.5000)  8 Te 3.18
Ta (0.5000, 0.5000, 0.5000)  8 Te 3.10
Te (0.2592, 0.2592, 0.3033)  1 Ta 3.10, 3 Np 3.18-3.26

---

No. 12
Rb3TbNp3Te8: optimized geometry, GGA-PBE.

Properties
Final energy   -5.73 eV/atom
ΔE_f (raw)   -0.97 eV/atom
N(E_F)   78.2 states/eV per cell
Volume   1835 Å³/cell

Unit cell a=9.0277 b=9.0277 c=26.0041 alpha=90.00 beta=90.00 gamma=120.00
With the nearest neighbours (Å) after each atom.
Space group R-3m (No. 166, hexagonal axes)
Asymmetric unit:
Rb (0.0000, 0.5000, 0.0000)  6 Te 3.69-3.70
Tb (0.0000, 0.0000, 0.5000)  6 Te 3.13
Np (0.0000, 0.5000, 0.5000)  6 Te 3.11-3.12
Te (0.0000, 0.0000, 0.2329)  3 Np 3.12
Te (0.0020, 0.5010, 0.7676)  2 Np 3.11, 1 Tb 3.13